# 1
Crystalline Ac6PRu2I3 at its relaxed geometry. Source: the Alexandria database, functional PBE.

Summary:
formation energy (no corrections) = -1051 kJ/mol of formula units

```
data_Ac6PRu2I3
_symmetry_space_group_name_H-M 'C 1 2/m 1'
_symmetry_Int_Tables_number 12
_cell_length_a 7.6763
_cell_length_b 13.2796
_cell_length_c 8.8981
_cell_angle_alpha 90.00
_cell_angle_beta 106.70
_cell_angle_gamma 90.00
loop_
_symmetry_equiv_pos_as_xyz
'x,y,z'
'-x,-y,-z'
'-x,y,-z'
'x,-y,z'
'x+1/2,y+1/2,z'
'-x+1/2,-y+1/2,-z'
'-x+1/2,y+1/2,-z'
'x+1/2,-y+1/2,z'
loop_
_atom_site_label
_atom_site_type_symbol
_atom_site_fract_x
_atom_site_fract_y
_atom_site_fract_z
_atom_site_occupancy
Ac1 Ac 0.2151 0.0000 0.1858 1
Ac2 Ac 0.2345 0.3266 0.1861 1
P1 P 0.0000 0.5000 0.0000 1
Ru1 Ru 0.0000 0.1671 0.0000 1
I1 I 0.0000 0.0000 0.5000 1
I2 I 0.0000 0.3347 0.5000 1
```

# 2
Crystalline Ac8PRu3I4 at its relaxed geometry. Source: the Alexandria database, functional PBE.

Summary:
formation energy (no corrections) = -1317 kJ/mol of formula units

```
data_Ac8PRu3I4
_symmetry_space_group_name_H-M 'R -3 m'
_symmetry_Int_Tables_number 166
_symmetry_space_group_name_Hall '-R 3 2"'
_cell_length_a 8.8345
_cell_length_b 8.8345
_cell_length_c 25.6191
_cell_angle_alpha 90.00
_cell_angle_beta 90.00
_cell_angle_gamma 120.00
loop_
_atom_site_label
_atom_site_type_symbol
_atom_site_fract_x
_atom_site_fract_y
_atom_site_fract_z
_atom_site_occupancy
Ac1 Ac 0.0000 0.0000 0.2312 1
Ac2 Ac 0.0123 0.5062 0.7729 1
P1 P 0.0000 0.0000 0.5000 1
Ru1 Ru 0.0000 0.5000 0.5000 1
I1 I 0.0000 0.0000 0.0000 1
I2 I 0.0000 0.5000 0.0000 1
```

# 3
Crystalline Ac8P3RuI4 at its relaxed geometry. Source: the Alexandria database, functional PBE.

Summary:
formation energy (no corrections) = -1765 kJ/mol of formula units

```
data_Ac8P3RuI4
_symmetry_space_group_name_H-M 'R -3 m'
_symmetry_Int_Tables_number 166
_symmetry_space_group_name_Hall '-R 3 2"'
_cell_length_a 8.9358
_cell_length_b 8.9358
_cell_length_c 24.5723
_cell_angle_alpha 90.00
_cell_angle_beta 90.00
_cell_angle_gamma 120.00
loop_
_atom_site_label
_atom_site_type_symbol
_atom_site_fract_x
_atom_site_fract_y
_atom_site_fract_z
_atom_site_occupancy
Ac1 Ac 0.0000 0.0000 0.2323 1
Ac2 Ac 0.0109 0.5054 0.2303 1
P1 P 0.0000 0.5000 0.5000 1
Ru1 Ru 0.0000 0.0000 0.5000 1
I1 I 0.0000 0.0000 0.0000 1
I2 I 0.0000 0.5000 0.0000 1
```